## NaSi2Ni2 (PBE)

Data for a relaxed NaSi2Ni2 crystal.

Its polymorph energy (0 for the lowest one) is 0.000 eV per atom. Its magnetic moment is 0.0 μB/f.u. The density of states at the Fermi level comes out at 0.549 states/eV per atom.

The space group is I4/mmm (No. 139) and the conventional cell measures 3.945, 3.945 and 9.592 Å, with angles of 90.00, 90.00 and 90.00 degrees. The distinct sites, in fractional coordinates, are Na at (0.000, 0.000, 0.000), Si at (0.000, 0.000, 0.373) and Ni at (0.000, 0.500, 0.250).